VASP calculation (PBE) on LaHg2P2 after structural relaxation.

a = 4.1028 Å, b = 4.1028 Å, c = 15.1686 Å
α = 90.00°, β = 90.00°, γ = 90.00°
Element x y z (fractional)
1 La 0.0000 0.0000 0.0000
2 La 0.5000 0.5000 0.5000
3 Hg 0.0000 0.5000 0.2500
4 Hg 0.0000 0.5000 0.7500
5 Hg 0.5000 0.0000 0.2500
6 Hg 0.5000 0.0000 0.7500
7 P 0.0000 0.0000 0.4279
8 P 0.0000 0.0000 0.5721
9 P 0.5000 0.5000 0.0721
10 P 0.5000 0.5000 0.9279

Calculated values
M_tot (μB per cell): 0.00
Energy (eV per atom): -3.722
Calculated formation energy (eV/f.u.): -2.3
Energy above the lowest structure with this stoichiometry (meV per atom): 0